Compound: YAuN2F
Source: the Alexandria database
Functional: GGA-PBE
Structure: optimized geometry

Cell lengths 4.5391, 4.5391, 4.2236 Å; angles 90.00, 90.00, 90.00 degrees
Element x y z (fractional)
1 Y 0.0000 0.0000 0.0000
2 N 0.0000 0.5000 0.0000
3 N 0.5000 0.0000 0.0000
4 Au 0.5000 0.5000 0.5000
5 F 0.0000 0.0000 0.5000

## Properties
SG   No. 123
Offset from the most stable computed form   0.082 eV/atom
Density of states at the Fermi level   5.09 states/eV/cell

---

Compound: YAuN2F
Source: the Alexandria database
Functional: GGA-PBE
Structure: optimized geometry

Cell lengths 4.0992, 4.0992, 4.2224 Å; angles 90.00, 90.00, 90.00 degrees
Element x y z (fractional)
1 Y 0.5000 0.5000 0.5000
2 N 0.0000 0.5000 0.0000
3 N 0.5000 0.0000 0.0000
4 Au 0.0000 0.0000 0.0000
5 F 0.0000 0.0000 0.5000

## Properties
SG   No. 123
Offset from the most stable computed form   0.000 eV/atom
Density of states at the Fermi level   3.70 states/eV/cell

---

Compound: ZnAuNF2
Source: the Alexandria database
Functional: GGA-PBE
Structure: optimized geometry

Cell lengths 4.5977, 4.5977, 3.8123 Å; angles 90.00, 90.00, 90.00 degrees
Each line ends with the local moment (μB).
Element x y z (fractional)
1 Zn 0.5000 0.5000 0.5000  -0.03
2 N 0.0000 0.0000 0.5000  0.24
3 Au 0.0000 0.0000 0.0000  0.08
4 F 0.0000 0.5000 0.0000  0.00
5 F 0.5000 0.0000 0.0000  0.00

## Properties
SG   No. 123
Offset from the most stable computed form   0.348 eV/atom
Density of states at the Fermi level   1.83 states/eV/cell

---

Compound: ZnAuN2F
Source: the Alexandria database
Functional: GGA-PBE
Structure: optimized geometry

Cell lengths 3.9349, 3.9349, 5.1695 Å; angles 90.00, 90.00, 90.00 degrees
Each line ends with the local moment (μB).
Element x y z (fractional)
1 Zn 0.5000 0.5000 0.5000  -0.11
2 N 0.0000 0.5000 0.0000  0.85
3 N 0.5000 0.0000 0.0000  0.85
4 Au 0.0000 0.0000 0.0000  0.28
5 F 0.0000 0.0000 0.5000  -0.04

## Properties
SG   No. 123
Offset from the most stable computed form   0.129 eV/atom
Density of states at the Fermi level   1.47 states/eV/cell

---

Compound: ZnAuN2F
Source: the Alexandria database
Functional: GGA-PBE
Structure: optimized geometry

Cell lengths 4.0128, 4.0128, 3.9878 Å; angles 90.00, 90.00, 90.00 degrees
Each line ends with the local moment (μB).
Element x y z (fractional)
1 Zn 0.0000 0.0000 0.0000  0.08
2 N 0.0000 0.5000 0.0000  0.86
3 N 0.5000 0.0000 0.0000  0.86
4 Au 0.5000 0.5000 0.5000  0.15
5 F 0.0000 0.0000 0.5000  0.10

## Properties
SG   No. 123
Offset from the most stable computed form   0.000 eV/atom
Density of states at the Fermi level   2.83 states/eV/cell

---

Compound: ZnAuNF2
Source: the Alexandria database
Functional: GGA-PBE
Structure: optimized geometry

Cell lengths 3.7732, 3.7732, 4.5756 Å; angles 90.00, 90.00, 90.00 degrees
Element x y z (fractional)
1 Zn 0.0000 0.0000 0.0000
2 N 0.0000 0.0000 0.5000
3 Au 0.5000 0.5000 0.5000
4 F 0.0000 0.5000 0.0000
5 F 0.5000 0.0000 0.0000

## Properties
SG   No. 123
Offset from the most stable computed form   0.025 eV/atom
Density of states at the Fermi level   2.61 states/eV/cell

---

Ρ: 6.4; 7.8; 6.5; 6.4; 8.0; 8.0 (g/cm³)